# Ca2TcW, PBEsol geometry, DFT meta-GGA SCAN
# Symmetry   P4mm
# Energy above the most stable polymorph in this dataset   0.000 eV per atom
data_Ca2TcW
_cell_length_a 3.225
_cell_length_b 3.225
_cell_length_c 8.942
_cell_angle_alpha 90.00
_cell_angle_beta 90.00
_cell_angle_gamma 90.00
_symmetry_space_group_name_H-M 'P 1'
_symmetry_Int_Tables_number 1
loop_
_symmetry_equiv_pos_as_xyz
'x,y,z'
loop_
_atom_site_label
_atom_site_fract_x
_atom_site_fract_y
_atom_site_fract_z
Ca1 0.500 0.500 0.063
Ca2 0.000 0.000 0.680
Tc1 0.500 0.500 0.444
W1 0.000 0.000 0.312

# YTcI2N, PBEsol geometry, DFT meta-GGA SCAN
# Symmetry   P4/mmm
# VASP energy   -28.677 eV per atom
data_YTcI2N
_cell_length_a 4.038
_cell_length_b 5.969
_cell_length_c 5.969
_cell_angle_alpha 90.00
_cell_angle_beta 90.00
_cell_angle_gamma 90.00
_symmetry_space_group_name_H-M 'P 1'
_symmetry_Int_Tables_number 1
loop_
_symmetry_equiv_pos_as_xyz
'x,y,z'
loop_
_atom_site_label
_atom_site_fract_x
_atom_site_fract_y
_atom_site_fract_z
I1 0.000 0.000 0.500
I2 0.000 0.500 0.000
Y1 0.000 0.000 0.000
Tc1 0.500 0.500 0.500
N1 0.500 0.000 0.000

# ScFe2Cl2, PBEsol geometry, DFT meta-GGA SCAN
# Symmetry   I4/mmm
# VASP energy   -13.519 eV per atom
data_ScFe2Cl2
_cell_length_a 4.106
_cell_length_b 4.106
_cell_length_c 5.709
_cell_angle_alpha 111.08
_cell_angle_beta 111.08
_cell_angle_gamma 90.00
_symmetry_space_group_name_H-M 'P 1'
_symmetry_Int_Tables_number 1
loop_
_symmetry_equiv_pos_as_xyz
'x,y,z'
loop_
_atom_site_label
_atom_site_fract_x
_atom_site_fract_y
_atom_site_fract_z
Cl1 0.250 0.750 0.500
Cl2 0.750 0.250 0.500
Fe1 0.611 0.611 0.222
Fe2 0.389 0.389 0.778
Sc1 0.000 0.000 0.000

# TaCoSi2, PBEsol geometry, DFT meta-GGA SCAN
# Symmetry   P4mm
# VASP energy   -26.174 eV per atom
data_TaCoSi2
_cell_length_a 3.045
_cell_length_b 3.045
_cell_length_c 5.633
_cell_angle_alpha 90.00
_cell_angle_beta 90.00
_cell_angle_gamma 90.00
_symmetry_space_group_name_H-M 'P 1'
_symmetry_Int_Tables_number 1
loop_
_symmetry_equiv_pos_as_xyz
'x,y,z'
loop_
_atom_site_label
_atom_site_fract_x
_atom_site_fract_y
_atom_site_fract_z
Co1 0.500 0.500 0.809
Si1 0.000 0.000 0.976
Si2 0.500 0.500 0.224
Ta1 0.000 0.000 0.492

# LaScMoN2, PBEsol geometry, DFT meta-GGA SCAN
# Symmetry   P4/mmm
# VASP energy   -21.835 eV per atom
data_LaScMoN2
_cell_length_a 4.082
_cell_length_b 4.082
_cell_length_c 4.881
_cell_angle_alpha 90.00
_cell_angle_beta 90.00
_cell_angle_gamma 90.00
_symmetry_space_group_name_H-M 'P 1'
_symmetry_Int_Tables_number 1
loop_
_symmetry_equiv_pos_as_xyz
'x,y,z'
loop_
_atom_site_label
_atom_site_fract_x
_atom_site_fract_y
_atom_site_fract_z
Sc1 0.000 0.000 0.500
Mo1 0.000 0.000 0.000
N1 0.000 0.500 0.000
N2 0.500 0.000 0.000
La1 0.500 0.500 0.500

# Al2TlGaPt, PBEsol geometry, DFT meta-GGA SCAN
# Symmetry   P4/mmm
# VASP energy   -34.501 eV per atom
data_Al2TlGaPt
_cell_length_a 4.716
_cell_length_b 4.824
_cell_length_c 4.824
_cell_angle_alpha 90.00
_cell_angle_beta 90.00
_cell_angle_gamma 90.00
_symmetry_space_group_name_H-M 'P 1'
_symmetry_Int_Tables_number 1
loop_
_symmetry_equiv_pos_as_xyz
'x,y,z'
loop_
_atom_site_label
_atom_site_fract_x
_atom_site_fract_y
_atom_site_fract_z
Tl1 0.500 0.500 0.500
Ga1 0.000 0.000 0.000
Pt1 0.500 0.000 0.000
Al1 0.000 0.000 0.500
Al2 0.000 0.500 0.000